[1]
First-principles (GGA-PBE) data for KIn2O after structural relaxation, as listed in Alexandria via LeMat-Bulk.

Properties
Its space group is No. 122. The raw formation energy is -0.45 eV/atom.

Cell lengths 8.1376, 8.1376, 5.9087 Å; angles 90.00, 90.00, 90.00 degrees
Positions (direct):
K 0.0000 0.0000 0.0000
K 0.0000 0.5000 0.2500
K 0.5000 0.0000 0.7500
K 0.5000 0.5000 0.5000
In 0.1558 0.2500 0.6250
In 0.2500 0.6558 0.8750
In 0.2500 0.8442 0.3750
In 0.3442 0.2500 0.1250
In 0.6558 0.7500 0.1250
In 0.7500 0.1558 0.3750
In 0.7500 0.3442 0.8750
In 0.8442 0.7500 0.6250
O 0.0000 0.0000 0.5000
O 0.0000 0.5000 0.7500
O 0.5000 0.0000 0.2500
O 0.5000 0.5000 0.0000

[2]
First-principles (GGA-PBE) data for NaAlPb after structural relaxation, as listed in Alexandria via LeMat-Bulk.

Properties
The value obtained for the formation enthalpy at 0 K is 0.085 eV/atom. Its space group is No. 107.

Cell lengths 3.4148, 3.4148, 13.6110 Å; angles 90.00, 90.00, 90.00 degrees
Positions (direct):
Na 0.0000 0.0000 0.0000
Na 0.5000 0.5000 0.5000
Al 0.0000 0.0000 0.3347
Al 0.5000 0.5000 0.8347
Pb 0.0000 0.0000 0.6916
Pb 0.5000 0.5000 0.1916

[3]
First-principles (GGA-PBE) data for Sc2OsPdAu after structural relaxation, as listed in Alexandria via LeMat-Bulk.

Properties
The value obtained for the formation enthalpy at 0 K is 0.335 eV/atom. Its space group is No. 123.

Cell lengths 4.8795, 4.8795, 5.0323 Å; angles 90.00, 90.00, 90.00 degrees
Positions (direct):
Sc 0.0000 0.5000 0.0000
Sc 0.5000 0.0000 0.0000
Os 0.0000 0.0000 0.0000
Pd 0.5000 0.5000 0.5000
Au 0.0000 0.0000 0.5000

[4]
First-principles (GGA-PBE) data for BaLi2Co after structural relaxation, as listed in Alexandria via LeMat-Bulk.

Properties
The value obtained for the formation enthalpy at 0 K is 0.383 eV/atom. Its space group is No. 6.

Cell lengths 3.9792, 4.0749, 6.7068 Å; angles 90.00, 105.93, 90.00 degrees
Positions (direct):
Ba 0.0000 0.0000 0.0000
Li 0.2291 0.5000 0.4920
Li 0.7079 0.0000 0.4524
Co 0.6027 0.5000 0.2202

[5]
First-principles (GGA-PBE) data for TmInSnCl6 after structural relaxation, as listed in Alexandria via LeMat-Bulk.

Properties
Its space group is No. 149. The raw formation energy is -1.55 eV/atom.

Cell lengths 7.2017, 7.2017, 6.8074 Å; angles 90.00, 90.00, 120.00 degrees
Positions (direct):
Tm 0.0000 0.0000 0.0000
In 0.3333 0.6667 0.5000
Sn 0.6667 0.3333 0.0000
Cl 0.3080 0.0196 0.2206
Cl 0.3080 0.2884 0.7794
Cl 0.7116 0.0196 0.7794
Cl 0.7116 0.6920 0.2206
Cl 0.9804 0.2884 0.2206
Cl 0.9804 0.6920 0.7794

[6]
First-principles (GGA-PBE) data for K4Ac3HoTe8 after structural relaxation, as listed in Alexandria via LeMat-Bulk.

Properties
Its space group is No. 166. The raw formation energy is -1.46 eV/atom.

Cell lengths 9.9363, 9.9363, 9.9363 Å; angles 57.22, 57.22, 57.22 degrees
Positions (direct):
K 0.0000 0.0000 0.0000
K 0.0000 0.5000 0.5000
K 0.5000 0.0000 0.5000
K 0.5000 0.5000 0.0000
Ac 0.0000 0.0000 0.5000
Ac 0.0000 0.5000 0.0000
Ac 0.5000 0.0000 0.0000
Ho 0.5000 0.5000 0.5000
Te 0.2421 0.2421 0.2421
Te 0.2561 0.7298 0.7298
Te 0.2702 0.2702 0.7439
Te 0.2702 0.7439 0.2702
Te 0.7298 0.2561 0.7298
Te 0.7298 0.7298 0.2561
Te 0.7439 0.2702 0.2702
Te 0.7579 0.7579 0.7579

[7]
First-principles (GGA-PBE) data for LiHo6Mg5 after structural relaxation, as listed in Alexandria via LeMat-Bulk.

Properties
The value obtained for the formation enthalpy at 0 K is -0.035 eV/atom. Its space group is No. 10.

Cell lengths 5.3362, 7.4883, 8.4339 Å; angles 90.00, 108.44, 90.00 degrees
Positions (direct):
Li 0.0000 0.0000 0.0000
Ho 0.1678 0.2504 0.3310
Ho 0.1678 0.7496 0.3310
Ho 0.5000 0.2496 0.0000
Ho 0.5000 0.7504 0.0000
Ho 0.8322 0.2504 0.6690
Ho 0.8322 0.7496 0.6690
Mg 0.0000 0.5000 0.0000
Mg 0.3278 0.0000 0.6620
Mg 0.3293 0.5000 0.6646
Mg 0.6707 0.5000 0.3354
Mg 0.6722 0.0000 0.3380

One value per record, in order, for final energy: -3.330; -2.838; -6.138; -2.831; -4.027; -4.360; -3.148 eV/atom.